[1]
Compound: CePb2I8
Source: Alexandria
Functional: GGA-PBE
Structure: optimized geometry

Geometry as POSCAR:
```
CePb2I8
1.0
-7.118 3.953 0.034
-2.702 -4.811 -6.337
0.650 -7.258 5.036
Pb I Ce
2 8 1
Direct
0.135 0.492 0.270
0.865 0.508 0.730
0.701 0.255 0.908
0.206 0.255 0.908
0.299 0.745 0.092
0.693 0.383 0.386
0.794 0.745 0.092
0.183 0.108 0.366
0.817 0.892 0.634
0.307 0.617 0.614
0.000 0.000 0.000
```

[2]
Compound: TbNbGa
Source: Alexandria
Functional: GGA-PBE
Structure: optimized geometry

Geometry as POSCAR:
```
TbNbGa
1.0
-3.514 1.642 -1.016
-1.436 -3.633 -0.904
-0.163 0.120 8.667
Tb Nb Ga
2 2 2
Direct
0.674 0.674 0.349
0.326 0.326 0.651
0.500 0.000 0.000
0.000 0.500 0.000
0.122 0.122 0.245
0.878 0.878 0.755
```

Properties
Energy of formation from the pure elements (eV per atom): -0.391
DOS at the Fermi energy (states/eV/cell): 4.390

[3]
Compound: Al2OsPb
Source: Alexandria
Functional: GGA-PBE
Structure: optimized geometry

Geometry as POSCAR:
```
Al2OsPb
1.0
-0.713 1.836 2.350
-2.858 -1.112 0.002
2.298 -5.895 5.303
Pb Os Al
1 1 2
Direct
0.500 0.500 0.750
0.500 0.500 0.250
0.000 0.000 0.080
0.000 0.000 0.420
```

Properties
Energy of formation from the pure elements (eV per atom): -0.050
DOS at the Fermi energy (states/eV/cell): 1.734

[4]
Compound: LiPbAu2
Source: Alexandria
Functional: GGA-PBE
Structure: optimized geometry

Geometry as POSCAR:
```
LiPbAu2
1.0
-4.395 0.988 2.280
1.132 -4.627 -1.405
3.294 -1.291 6.907
Li Pb Au
2 2 4
Direct
0.918 0.836 0.250
0.082 0.164 0.750
0.424 0.849 0.750
0.576 0.151 0.250
0.222 0.443 0.430
0.778 0.557 0.570
0.222 0.443 0.070
0.778 0.557 0.930
```

Properties
Energy of formation from the pure elements (eV per atom): -0.214
DOS at the Fermi energy (states/eV/cell): 3.245

[5]
Compound: ZnInB2Se
Source: Alexandria
Functional: GGA-PBE
Structure: optimized geometry

Geometry as POSCAR:
```
ZnInB2Se
1.0
-0.425 -3.480 -2.096
2.216 -2.865 4.307
-3.731 -0.500 1.587
Zn B Se In
1 2 1 1
Direct
0.000 0.000 0.000
0.000 0.000 0.500
0.500 0.000 0.000
0.000 0.500 0.000
0.500 0.500 0.500
```

Properties
DOS at the Fermi energy (states/eV/cell): 2.524

[6]
Compound: Ca5Pm
Source: Alexandria
Functional: GGA-PBE
Structure: optimized geometry

Geometry as POSCAR:
```
Ca5Pm
1.0
3.813 0.000 0.000
0.000 3.813 0.000
0.000 0.000 16.616
Ca Pm
5 1
Direct
0.000 0.000 0.658
0.500 0.500 0.830
0.000 0.000 0.000
0.500 0.500 0.170
0.000 0.000 0.342
0.500 0.500 0.500
```

Properties
Energy of formation from the pure elements (eV per atom): 0.046
Energy relative to the lowest polymorph listed for this composition (meV per atom): 0.0
DOS at the Fermi energy (states/eV/cell): 9.882

[7]
Compound: Rb3Nd2BiSe6
Source: Alexandria
Functional: GGA-PBE
Structure: optimized geometry

Geometry as POSCAR:
```
Rb3Nd2BiSe6
1.0
7.576 -0.001 0.000
-3.787 6.562 0.000
-1.263 -2.187 8.021
Rb Nd Bi Se
3 2 1 6
Direct
0.166 0.834 0.500
0.834 0.166 0.500
0.500 0.500 0.500
0.333 0.667 0.000
0.667 0.333 0.000
0.000 0.000 0.000
0.933 0.600 0.799
0.734 0.734 0.201
0.067 0.400 0.201
0.600 0.933 0.799
0.266 0.266 0.799
0.400 0.067 0.201
```

Properties
DOS at the Fermi energy (states/eV/cell): 0.000

[8]
Compound: Sc2SnF2
Source: Alexandria
Functional: GGA-PBE
Structure: optimized geometry

Geometry as POSCAR:
```
Sc2SnF2
1.0
3.615 0.000 0.000
0.000 3.615 0.000
1.808 1.808 6.232
Sc Sn F
2 1 2
Direct
0.362 0.362 0.276
0.638 0.638 0.724
0.000 0.000 0.000
0.750 0.250 0.500
0.250 0.750 0.500
```

Properties
DOS at the Fermi energy (states/eV/cell): 2.218

[9]
Compound: Hg12Ge5Br3
Source: Alexandria
Functional: GGA-PBE
Structure: optimized geometry

Geometry as POSCAR:
```
Hg12Ge5Br3
1.0
-10.503 0.110 -11.492
-6.250 -6.522 12.680
4.285 14.609 3.255
Br Ge Hg
12 20 48
Direct
0.750 0.375 0.125
0.875 0.750 0.125
0.375 0.750 0.625
0.250 0.125 0.375
0.875 0.125 0.250
0.375 0.625 0.250
0.625 0.375 0.750
0.125 0.875 0.750
0.750 0.875 0.625
0.625 0.250 0.375
0.125 0.250 0.875
0.250 0.625 0.875
0.125 0.375 0.250
0.000 0.500 0.000
0.000 0.000 0.000
0.375 0.250 0.125
0.500 0.000 0.500
0.500 0.500 0.000
0.125 0.750 0.375
0.750 0.125 0.875
0.750 0.625 0.375
0.375 0.125 0.750
0.625 0.875 0.250
0.500 0.500 0.500
0.500 0.000 0.000
0.000 0.000 0.500
0.250 0.375 0.625
0.250 0.875 0.125
0.000 0.500 0.500
0.875 0.250 0.625
0.625 0.750 0.875
0.875 0.625 0.750
0.670 0.107 0.994
0.324 0.494 0.386
0.006 0.393 0.330
0.494 0.170 0.107
0.563 0.670 0.676
0.006 0.614 0.176
0.324 0.830 0.437
0.114 0.937 0.107
0.614 0.006 0.676
0.670 0.563 0.176
0.830 0.506 0.393
0.824 0.886 0.994
0.107 0.670 0.494
0.393 0.386 0.063
0.063 0.886 0.393
0.437 0.107 0.614
0.063 0.176 0.170
0.506 0.676 0.114
0.824 0.937 0.330
0.107 0.437 0.114
0.393 0.006 0.830
0.614 0.607 0.437
0.886 0.824 0.494
0.830 0.324 0.937
0.386 0.393 0.563
0.114 0.176 0.506
0.170 0.676 0.063
0.176 0.063 0.670
0.607 0.994 0.170
0.893 0.563 0.886
0.494 0.324 0.886
0.563 0.893 0.386
0.937 0.824 0.830
0.937 0.114 0.607
0.893 0.330 0.506
0.176 0.114 0.006
0.607 0.614 0.937
0.386 0.994 0.324
0.330 0.437 0.824
0.170 0.494 0.607
0.886 0.063 0.893
0.676 0.170 0.563
0.506 0.830 0.893
0.994 0.386 0.824
0.437 0.330 0.324
0.994 0.607 0.670
0.676 0.506 0.614
0.330 0.893 0.006
```

Properties
DOS at the Fermi energy (states/eV/cell): 18.629

[10]
Compound: CsNd2Cl7
Source: Alexandria
Functional: GGA-PBE
Structure: optimized geometry

Geometry as POSCAR:
```
CsNd2Cl7
1.0
-1.710 4.292 3.015
-5.576 1.925 -5.903
-2.533 -5.222 5.997
Cs Nd Cl
1 2 7
Direct
0.000 0.000 0.000
0.500 0.696 0.304
0.500 0.304 0.696
0.000 0.709 0.291
0.000 0.291 0.709
0.500 0.048 0.329
0.500 0.952 0.671
0.500 0.329 0.048
0.500 0.671 0.952
0.500 0.500 0.500
```

Properties
DOS at the Fermi energy (states/eV/cell): 0.000

[11]
Compound: Np3Sb4Rh8
Source: Alexandria
Functional: GGA-PBE
Structure: optimized geometry

Geometry as POSCAR:
```
Np3Sb4Rh8
1.0
7.983 0.000 4.609
2.661 7.526 4.609
0.000 0.000 9.218
Np Sb Rh
6 8 16
Direct
0.728 0.728 0.272
0.272 0.272 0.728
0.728 0.272 0.272
0.272 0.728 0.728
0.728 0.272 0.728
0.272 0.728 0.272
0.000 0.000 0.000
0.500 0.500 0.000
0.000 0.000 0.500
0.500 0.000 0.000
0.000 0.500 0.500
0.500 0.000 0.500
0.000 0.500 0.000
0.500 0.500 0.500
0.638 0.121 0.121
0.362 0.879 0.879
0.121 0.121 0.638
0.121 0.121 0.121
0.879 0.879 0.362
0.879 0.879 0.879
0.121 0.638 0.121
0.879 0.362 0.879
0.991 0.336 0.336
0.009 0.664 0.664
0.336 0.336 0.991
0.336 0.336 0.336
0.664 0.664 0.009
0.664 0.664 0.664
0.336 0.991 0.336
0.664 0.009 0.664
```

Properties
DOS at the Fermi energy (states/eV/cell): 72.984

[12]
Compound: AcPm4Ho2Er
Source: Alexandria
Functional: GGA-PBE
Structure: optimized geometry

Geometry as POSCAR:
```
AcPm4Ho2Er
1.0
6.208 -1.014 -0.267
-1.051 5.993 1.621
-1.044 4.089 8.663
Ac Pm Ho Er
1 4 2 1
Direct
0.500 0.500 0.000
0.000 0.756 0.744
0.000 0.244 0.256
0.501 0.745 0.255
0.499 0.255 0.745
0.000 0.000 0.000
0.500 0.000 0.500
0.000 0.500 0.500
```

Properties
Energy of formation from the pure elements (eV per atom): 0.032
DOS at the Fermi energy (states/eV/cell): 11.215

[13]
Compound: Fe3SiPb
Source: Alexandria
Functional: GGA-PBE
Structure: optimized geometry

Geometry as POSCAR:
```
Fe3SiPb
1.0
-1.716 -3.109 -3.327
4.365 -2.135 -0.257
-1.295 -3.075 3.542
Pb Si Fe
1 1 3
Direct
0.000 0.000 0.000
0.500 0.500 0.500
0.000 0.500 0.000
0.000 0.000 0.500
0.500 0.000 0.000
```

Properties
Energy relative to the lowest polymorph listed for this composition (meV per atom): 1295.2
DOS at the Fermi energy (states/eV/cell): 8.491

[14]
Compound: Y2FeHg
Source: Alexandria
Functional: GGA-PBE
Structure: optimized geometry

Geometry as POSCAR:
```
Y2FeHg
1.0
4.435 0.000 0.000
0.000 3.927 0.007
0.000 1.953 5.563
Fe Hg Y
1 1 2
Direct
0.000 0.701 0.474
0.500 0.554 0.767
0.000 0.975 0.925
0.500 0.271 0.334
```

Properties
Energy of formation from the pure elements (eV per atom): -0.108
DOS at the Fermi energy (states/eV/cell): 5.044

[15]
Compound: Y3MgPb5
Source: Alexandria
Functional: GGA-PBE
Structure: optimized geometry

Geometry as POSCAR:
```
Y3MgPb5
1.0
6.483 0.000 0.000
0.000 8.207 -4.738
0.000 0.000 9.477
Y Mg Pb
6 2 10
Direct
0.750 0.378 0.000
0.750 0.622 0.622
0.750 0.000 0.378
0.250 0.622 0.000
0.250 0.378 0.378
0.250 0.000 0.622
0.000 0.000 0.000
0.500 0.000 0.000
0.000 0.333 0.667
0.500 0.667 0.333
0.000 0.667 0.333
0.500 0.333 0.667
0.750 0.717 0.000
0.750 0.283 0.283
0.750 0.000 0.717
0.250 0.283 0.000
0.250 0.717 0.717
0.250 0.000 0.283
```

Properties
Energy of formation from the pure elements (eV per atom): -0.332
DOS at the Fermi energy (states/eV/cell): 11.966

[16]
Compound: NaAlPb
Source: Alexandria
Functional: GGA-PBE
Structure: optimized geometry

Geometry as POSCAR:
```
NaAlPb
1.0
4.455 -2.572 0.000
0.000 5.144 0.000
0.000 0.000 3.326
Pb Na Al
1 1 1
Direct
0.333 0.667 0.000
0.667 0.333 0.500
0.000 0.000 0.000
```

Properties
Energy of formation from the pure elements (eV per atom): 0.062
DOS at the Fermi energy (states/eV/cell): 1.144

[17]
Compound: Nd5Er12Te3
Source: Alexandria
Functional: GGA-PBE
Structure: optimized geometry

Geometry as POSCAR:
```
Nd5Er12Te3
1.0
15.751 0.000 0.000
-5.250 14.850 0.000
-5.250 -7.425 12.861
Te Nd Er
12 20 48
Direct
0.750 0.375 0.125
0.875 0.750 0.125
0.375 0.750 0.625
0.250 0.125 0.375
0.875 0.125 0.250
0.375 0.625 0.250
0.625 0.375 0.750
0.125 0.875 0.750
0.750 0.875 0.625
0.625 0.250 0.375
0.125 0.250 0.875
0.250 0.625 0.875
0.125 0.375 0.250
0.000 0.500 0.000
0.000 0.000 0.000
0.375 0.250 0.125
0.500 0.000 0.500
0.500 0.500 0.000
0.125 0.750 0.375
0.750 0.125 0.875
0.750 0.625 0.375
0.375 0.125 0.750
0.625 0.875 0.250
0.500 0.500 0.500
0.500 0.000 0.000
0.000 0.000 0.500
0.250 0.375 0.625
0.250 0.875 0.125
0.000 0.500 0.500
0.875 0.250 0.625
0.625 0.750 0.875
0.875 0.625 0.750
0.730 0.143 0.076
0.346 0.576 0.434
0.924 0.357 0.270
0.576 0.230 0.143
0.588 0.730 0.654
0.924 0.566 0.154
0.346 0.770 0.412
0.066 0.912 0.143
0.566 0.924 0.654
0.730 0.588 0.154
0.770 0.424 0.357
0.846 0.934 0.076
0.143 0.730 0.576
0.357 0.434 0.088
0.088 0.934 0.357
0.412 0.143 0.566
0.088 0.154 0.230
0.424 0.654 0.066
0.846 0.912 0.270
0.143 0.412 0.066
0.357 0.924 0.770
0.566 0.643 0.412
0.934 0.846 0.576
0.770 0.346 0.912
0.434 0.357 0.588
0.066 0.154 0.424
0.230 0.654 0.088
0.154 0.088 0.730
0.643 0.076 0.230
0.857 0.588 0.934
0.576 0.346 0.934
0.588 0.857 0.434
0.912 0.846 0.770
0.912 0.066 0.643
0.857 0.270 0.424
0.154 0.066 0.924
0.643 0.566 0.912
0.434 0.076 0.346
0.270 0.412 0.846
0.230 0.576 0.643
0.934 0.088 0.857
0.654 0.230 0.588
0.424 0.770 0.857
0.076 0.434 0.846
0.412 0.270 0.346
0.076 0.643 0.730
0.654 0.424 0.566
0.270 0.857 0.924
```

Properties
DOS at the Fermi energy (states/eV/cell): 97.579

What are the DFT total energy values for these records? In order: -3.14, -6.30, -5.66, -3.26, -2.98, -2.41, -4.52, -6.36, -1.52, -4.58, -8.01, -4.57, -5.09, -5.53, -4.72, -2.86, -3.85 eV per atom.